(1)
# OsINF2 | Alexandria | PBE-GGA | relaxed
# Formation energy without anion corrections (kcal/mol of atoms): 33.6
data_OsINF2
_chemical_formula_sum 'Os1 I1 N1 F2'
_space_group_name_H-M_alt 'P 4/m m m'
_space_group_IT_number 123
_space_group_name_Hall '-P 4 2'
_cell_length_a 4.845
_cell_length_b 4.845
_cell_length_c 4.005
_cell_angle_alpha 90.00
_cell_angle_beta 90.00
_cell_angle_gamma 90.00
loop_
_atom_site_label
_atom_site_fract_x
_atom_site_fract_y
_atom_site_fract_z
Os1 0.000 0.000 0.000
I1 0.500 0.500 0.500
N1 0.500 0.500 0.000
F1 0.000 0.500 0.500


(2)
# PINF2 | Alexandria | PBE-GGA | relaxed
# Formation energy without anion corrections (kcal/mol of atoms): 17.7
data_PINF2
_chemical_formula_sum 'P1 I1 N1 F2'
_space_group_name_H-M_alt 'P 4/m m m'
_space_group_IT_number 123
_space_group_name_Hall '-P 4 2'
_cell_length_a 4.734
_cell_length_b 4.734
_cell_length_c 4.033
_cell_angle_alpha 90.00
_cell_angle_beta 90.00
_cell_angle_gamma 90.00
loop_
_atom_site_label
_atom_site_fract_x
_atom_site_fract_y
_atom_site_fract_z
P1 0.000 0.000 0.000
I1 0.500 0.500 0.500
N1 0.500 0.500 0.000
F1 0.000 0.500 0.500


(3)
# PINF2 | Alexandria | PBE-GGA | relaxed
# Formation energy without anion corrections (kcal/mol of atoms): 0.2
data_PINF2
_chemical_formula_sum 'P1 I1 N1 F2'
_space_group_name_H-M_alt 'P 4/m m m'
_space_group_IT_number 123
_space_group_name_Hall '-P 4 2'
_cell_length_a 3.842
_cell_length_b 3.842
_cell_length_c 5.002
_cell_angle_alpha 90.00
_cell_angle_beta 90.00
_cell_angle_gamma 90.00
loop_
_atom_site_label
_atom_site_fract_x
_atom_site_fract_y
_atom_site_fract_z
P1 0.000 0.000 0.000
I1 0.500 0.500 0.500
N1 0.000 0.000 0.500
F1 0.000 0.500 0.000


Number 1: offset from the most stable computed form 1415.6 meV/atom. Number 2: offset from the most stable computed form 756.0 meV/atom. Number 3: offset from the most stable computed form 0.0 meV/atom.